Entry 1:
# Sm3GeB2Pt9 (GGA-PBE, relaxed)
# N(E_F): 6.02 states/eV per cell
# Total magnetization: 0.000 μB/atom
# Raw total energy: -6.58 eV per atom
# E_form: -0.817 eV per atom
data_Sm3GeB2Pt9
_chemical_formula_sum 'Sm3 Ge1 B2 Pt9'
_space_group_name_H-M_alt 'P -3 m 1'
_space_group_IT_number 164
_space_group_name_Hall '-P 3 2"'
_cell_length_a 5.7953
_cell_length_b 5.7953
_cell_length_c 9.2122
_cell_angle_alpha 90.00
_cell_angle_beta 90.00
_cell_angle_gamma 120.00
loop_
_atom_site_label
_atom_site_type_symbol
_atom_site_fract_x
_atom_site_fract_y
_atom_site_fract_z
_atom_site_occupancy
Sm1 Sm 0.0000 0.0000 0.0000 1
Sm2 Sm 0.3333 0.6667 0.6069 1
Ge1 Ge 0.0000 0.0000 0.5000 1
B1 B 0.3333 0.6667 0.1490 1
Pt1 Pt 0.0000 0.5000 0.0000 1
Pt2 Pt 0.1657 0.3314 0.2892 1



Entry 2:
# RbInSb2Pt (GGA-PBE, relaxed)
# N(E_F): 3.51 states/eV per cell
# Total magnetization: 0.000 μB/atom
# Raw total energy: -3.64 eV per atom
data_RbInSb2Pt
_chemical_formula_sum 'Rb1 In1 Sb2 Pt1'
_space_group_name_H-M_alt 'P 4/m m m'
_space_group_IT_number 123
_space_group_name_Hall '-P 4 2'
_cell_length_a 5.546
_cell_length_b 5.546
_cell_length_c 5.226
_cell_angle_alpha 90.00
_cell_angle_beta 90.00
_cell_angle_gamma 90.00
loop_
_atom_site_label
_atom_site_type_symbol
_atom_site_fract_x
_atom_site_fract_y
_atom_site_fract_z
_atom_site_occupancy
Rb1 Rb 0.000 0.000 0.000 1
In1 In 0.500 0.500 0.000 1
Sb1 Sb 0.000 0.500 0.500 1
Pt1 Pt 0.500 0.500 0.500 1



Entry 3:
# K6HF5 (GGA-PBE, relaxed)
# N(E_F): 0.00 states/eV per cell
# Total magnetization: 0.005 μB/atom
# Raw total energy: -3.92 eV per atom
data_K6HF5
_chemical_formula_sum 'K12 H2 F10'
_space_group_name_H-M_alt 'C 1 2/m 1'
_space_group_IT_number 12
_space_group_name_Hall '-C 2y'
_cell_length_a 6.675
_cell_length_b 11.556
_cell_length_c 6.672
_cell_angle_alpha 90.00
_cell_angle_beta 109.49
_cell_angle_gamma 90.00
loop_
_atom_site_label
_atom_site_type_symbol
_atom_site_fract_x
_atom_site_fract_y
_atom_site_fract_z
_atom_site_occupancy
K1 K 0.246 0.000 0.254 1
K2 K 0.247 0.169 0.748 1
H1 H 0.000 0.500 0.000 1
F1 F 0.000 0.000 0.500 1
F2 F 0.000 0.167 0.000 1
F3 F 0.000 0.333 0.500 1